A plane-wave DFT calculation with PBE was carried out for a relaxed MgCdIn2 crystal.

Output
D(E_F): 0.32 states/eV per atom
total magnetization: 0.000 μB/atom
ΔH_f (0 K): 0.002 eV per atom
space-group type: Immm
total energy: -7.98 eV for the cell shown

Cell lengths 6.0417, 6.0417, 6.0417 Å; angles 144.96, 127.39, 64.79 degrees
With the nearest neighbours (Å) after each atom.
Fractional positions:
Mg 0.0000 0.0000 0.0000  4 In 3.14, 4 Cd 3.24
Cd 0.5000 0.5000 0.0000  4 In 3.12, 4 Mg 3.24
In 0.2510 0.7510 0.5000  2 Cd 3.12, 2 Mg 3.14, 4 In 3.24
In 0.7490 0.2490 0.5000  2 Cd 3.12, 2 Mg 3.14, 4 In 3.24